Zn2InCuSb | GGA-PBE | optimized geometry

Results
The final energy is -0.1379 Ry/atom. Its space group is P4/mmm (123). The calculation puts the spin magnetization at 0.00 μB/f.u. The energy relative to the elements, uncorrected is 825 meV per atom. The energy relative to the lowest polymorph listed for this composition is 0.10 eV per formula unit.

Unit cell a=4.937 b=5.961 c=4.937 alpha=90.00 beta=90.00 gamma=90.00
Atoms (fractional coordinates):
Cu 0.500 0.500 0.500
Sb 0.000 0.500 0.000
Zn 0.000 0.000 0.500
Zn 0.500 0.000 0.000
In 0.000 0.000 0.000